No. 1
A relaxed structure of Er12Zn3H5. Source: Alexandria via LeMat-Bulk, functional PBE-GGA.

Computed properties:
The uncorrected energy is -3.998 eV per atom.

Unit cell a=13.061 b=13.061 c=13.061 alpha=109.47 beta=109.47 gamma=109.47
Fractional positions:
H 0.125 0.375 0.250
H 0.000 0.500 0.000
H 0.000 0.000 0.000
H 0.375 0.250 0.125
H 0.500 0.000 0.500
H 0.500 0.500 0.000
H 0.125 0.750 0.375
H 0.750 0.125 0.875
H 0.750 0.625 0.375
H 0.375 0.125 0.750
H 0.625 0.875 0.250
H 0.500 0.500 0.500
H 0.500 0.000 0.000
H 0.000 0.000 0.500
H 0.250 0.375 0.625
H 0.250 0.875 0.125
H 0.000 0.500 0.500
H 0.875 0.250 0.625
H 0.625 0.750 0.875
H 0.875 0.625 0.750
Zn 0.750 0.375 0.125
Zn 0.875 0.750 0.125
Zn 0.375 0.750 0.625
Zn 0.250 0.125 0.375
Zn 0.875 0.125 0.250
Zn 0.375 0.625 0.250
Zn 0.625 0.375 0.750
Zn 0.125 0.875 0.750
Zn 0.750 0.875 0.625
Zn 0.625 0.250 0.375
Zn 0.125 0.250 0.875
Zn 0.250 0.625 0.875
Er 0.709 0.113 0.017
Er 0.309 0.517 0.405
Er 0.983 0.387 0.291
Er 0.517 0.209 0.113
Er 0.596 0.709 0.691
Er 0.983 0.595 0.191
Er 0.309 0.791 0.404
Er 0.095 0.904 0.113
Er 0.595 0.983 0.691
Er 0.709 0.596 0.191
Er 0.791 0.483 0.387
Er 0.809 0.905 0.017
Er 0.113 0.709 0.517
Er 0.387 0.405 0.096
Er 0.096 0.905 0.387
Er 0.404 0.113 0.595
Er 0.096 0.191 0.209
Er 0.483 0.691 0.095
Er 0.809 0.904 0.291
Er 0.113 0.404 0.095
Er 0.387 0.983 0.791
Er 0.595 0.613 0.404
Er 0.905 0.809 0.517
Er 0.791 0.309 0.904
Er 0.405 0.387 0.596
Er 0.095 0.191 0.483
Er 0.209 0.691 0.096
Er 0.191 0.096 0.709
Er 0.613 0.017 0.209
Er 0.887 0.596 0.905
Er 0.517 0.309 0.905
Er 0.596 0.887 0.405
Er 0.904 0.809 0.791
Er 0.904 0.095 0.613
Er 0.887 0.291 0.483
Er 0.191 0.095 0.983
Er 0.613 0.595 0.904
Er 0.405 0.017 0.309
Er 0.291 0.404 0.809
Er 0.209 0.517 0.613
Er 0.905 0.096 0.887
Er 0.691 0.209 0.596
Er 0.483 0.791 0.887
Er 0.017 0.405 0.809
Er 0.404 0.291 0.309
Er 0.017 0.613 0.709
Er 0.691 0.483 0.595
Er 0.291 0.887 0.983

No. 2
A relaxed structure of Er2ZnH. Source: Alexandria via LeMat-Bulk, functional PBE-GGA.

Computed properties:
The uncorrected energy is -3.678 eV per atom.

Unit cell a=3.602 b=3.602 c=7.288 alpha=75.69 beta=75.69 gamma=60.00
Fractional positions:
H 0.500 0.500 0.500
Zn 0.000 0.000 0.000
Er 0.768 0.768 0.695
Er 0.232 0.232 0.305

No. 3
A relaxed structure of ErZrH4. Source: Alexandria via LeMat-Bulk, functional PBE-GGA.

Computed properties:
The uncorrected energy is -5.059 eV per atom.

Unit cell a=3.463 b=3.463 c=5.025 alpha=90.00 beta=90.00 gamma=90.00
Fractional positions:
Er 0.501 0.497 0.998
Zr 0.001 0.997 0.498
H 0.501 0.997 0.265
H 0.501 0.997 0.732
H 0.001 0.497 0.732
H 0.001 0.497 0.265

No. 4
A relaxed structure of ErZr2H8. Source: Alexandria via LeMat-Bulk, functional PBE-GGA.

Computed properties:
The uncorrected energy is -4.838 eV per atom.

Unit cell a=3.229 b=5.640 c=5.861 alpha=118.76 beta=105.99 gamma=90.00
Fractional positions:
Er 0.500 0.000 0.000
Zr 0.172 0.672 0.344
Zr 0.828 0.328 0.656
H 0.664 0.901 0.327
H 0.336 0.573 0.673
H 0.176 0.176 0.352
H 0.000 0.275 0.000
H 0.824 0.824 0.648
H 0.664 0.427 0.327
H 0.336 0.099 0.673
H 0.000 0.725 0.000

No. 5
A relaxed structure of Er3ZrH. Source: Alexandria via LeMat-Bulk, functional PBE-GGA.

Computed properties:
The uncorrected energy is -5.223 eV per atom.

Unit cell a=4.822 b=4.822 c=4.822 alpha=90.00 beta=90.00 gamma=90.00
Fractional positions:
H 0.000 0.000 0.000
Zr 0.500 0.500 0.500
Er 0.000 0.500 0.000
Er 0.000 0.000 0.500
Er 0.500 0.000 0.000

No. 6
A relaxed structure of Er2ZrH8. Source: Alexandria via LeMat-Bulk, functional PBE-GGA.

Computed properties:
The uncorrected energy is -4.558 eV per atom.

Unit cell a=3.642 b=4.803 c=6.095 alpha=113.20 beta=107.38 gamma=90.00
Fractional positions:
Er 0.167 0.667 0.334
Er 0.833 0.333 0.666
Zr 0.500 0.000 0.000
H 0.655 0.899 0.310
H 0.345 0.589 0.690
H 0.168 0.168 0.336
H 0.000 0.245 0.000
H 0.832 0.832 0.664
H 0.655 0.411 0.310
H 0.345 0.101 0.690
H 0.000 0.755 0.000

No. 7
A relaxed structure of ErZr2H. Source: Alexandria via LeMat-Bulk, functional PBE-GGA.

Computed properties:
The uncorrected energy is -6.172 eV per atom.

Unit cell a=3.197 b=3.197 c=9.024 alpha=79.80 beta=79.80 gamma=60.00
Fractional positions:
H 0.500 0.500 0.500
Zr 0.116 0.116 0.651
Zr 0.884 0.884 0.349
Er 0.000 0.000 0.000

No. 8
A relaxed structure of ErHf3. Source: Alexandria via LeMat-Bulk, functional PBE-GGA.

Computed properties:
The polymorph energy (0 for the lowest one) is 0 meV/atom. Its energy of formation is 0.063 eV/atom.

Unit cell a=3.261 b=5.135 c=5.716 alpha=90.00 beta=90.00 gamma=90.00
Fractional positions:
Hf 0.000 0.000 0.989
Hf 0.500 0.000 0.516
Hf 0.500 0.500 0.831
Er 0.000 0.500 0.330

What is the formula in the fourth record?
ErZr2H8